# 1
Material: YIn2TeS
Method: DFT, GGA-PBE
State: optimized geometry

Cell: 6.1439 6.1439 5.5416 Å, 90.00 90.00 90.00°
Space group P4/mmm (No. 123)
Asymmetric unit:
Y 0.0000 0.0000 0.0000 (multiplicity 1)
In 0.0000 0.5000 0.0000 (multiplicity 2)
Te 0.0000 0.0000 0.5000 (multiplicity 1)
S 0.5000 0.5000 0.5000 (multiplicity 1)

Properties
* uncorrected formation energy: 0.413 eV/atom
* Fermi-level density of states: 6.5 states/eV/cell

# 2
Material: Th3In5S12
Method: DFT, GGA-PBE
State: optimized geometry

Cell: 15.9412 15.9412 15.9412 Å, 90.00 90.00 90.00°
Space group Ia-3d (No. 230)
Asymmetric unit:
Th 0.0000 0.2500 0.1250 (multiplicity 24)
In 0.0000 0.0000 0.0000 (multiplicity 16)
In 0.0000 0.2500 0.3750 (multiplicity 24)
S 0.0202 0.0674 0.6554 (multiplicity 96)

Properties
* uncorrected formation energy: -1.064 eV/atom
* Fermi-level density of states: 60.3 states/eV/cell

# 3
Material: ThInS3
Method: DFT, GGA-PBE
State: optimized geometry

Cell: 16.6027 4.2677 7.6128 Å, 90.00 104.88 90.00°
Space group C2/m (No. 12)
Asymmetric unit:
Th 0.2106 0.0000 0.2335 (multiplicity 4)
In 0.0217 0.5000 0.6945 (multiplicity 4)
S 0.0425 0.0000 0.2120 (multiplicity 4)
S 0.1575 0.5000 0.9640 (multiplicity 4)
S 0.1946 0.0000 0.6027 (multiplicity 4)

Properties
* uncorrected formation energy: -1.307 eV/atom

Look up the uncorrected formation energy of the second one. -1.064 eV/atom

Copy entry 1 word for word.
Material: YIn2TeS
Method: DFT, GGA-PBE
State: optimized geometry

Cell: 6.1439 6.1439 5.5416 Å, 90.00 90.00 90.00°
Space group P4/mmm (No. 123)
Asymmetric unit:
Y 0.0000 0.0000 0.0000 (multiplicity 1)
In 0.0000 0.5000 0.0000 (multiplicity 2)
Te 0.0000 0.0000 0.5000 (multiplicity 1)
S 0.5000 0.5000 0.5000 (multiplicity 1)

Properties
* uncorrected formation energy: 0.413 eV/atom
* Fermi-level density of states: 6.5 states/eV/cell

Which value of uncorrected formation energy does entry 1 give? 0.413 eV/atom